An optimized crystal structure of Tb2Ho12Er5, computed with GGA-PBE.

Cell and atoms, written as extended XYZ:
```
19
Lattice="-1.753 6.542 -6.105 -0.199 -8.694 -2.450 -8.167 -0.256 2.070" Properties=species:S:1:pos:R:3 pbc="T T T"
Tb -1.190 4.441 -4.145
Tb -0.563 2.100 -1.960
Ho -2.702 -1.189 -7.307
Ho -6.365 -6.019 -0.286
Ho -7.482 -1.853 -4.174
Ho -3.241 -5.396 -2.223
Ho -3.917 -2.871 -4.580
Ho -6.393 -4.967 -3.487
Ho -3.726 2.558 -2.998
Ho -6.878 2.987 -4.262
Ho -6.202 0.462 -1.905
Ho -3.754 3.611 -6.199
Ho -2.637 -0.556 -2.311
Ho -7.417 -1.220 0.822
Er -5.190 -2.665 -1.365
Er -8.727 -3.527 -1.274
Er -4.084 -0.128 1.035
Er -1.392 1.119 -5.211
Er -4.929 0.256 -5.120
```

Computed properties:
**ΔE_f**: 0.131 eV/atom
**Volume**: 599.4 Å³ per cell
**Mass density**: 8680 kg/m³
**Electronic total energy**: -0.3270 Ry/atom

---

An optimized crystal structure of Tb7Ho2Er4, computed with GGA-PBE.

Cell and atoms, written as extended XYZ:
```
13
Lattice="-4.000 4.090 -1.947 -1.861 -5.523 1.600 -1.740 4.144 12.280" Properties=species:S:1:pos:R:3 pbc="T T T"
Tb -2.548 -0.286 10.621
Tb -5.053 2.998 1.312
Tb 0.000 0.000 0.000
Tb -3.914 5.851 8.356
Tb -1.826 2.384 1.976
Tb -4.121 -0.010 2.459
Tb -3.480 2.721 9.474
Ho -3.287 0.886 -0.765
Ho -2.574 -2.319 0.418
Er -1.056 2.515 7.452
Er -4.684 5.720 2.881
Er -4.157 2.958 5.375
Er -3.444 -0.247 6.558
```

Computed properties:
**ΔE_f**: 0.176 eV/atom
**Volume**: 413.6 Å³ per cell
**Mass density**: 8476 kg/m³
**Electronic total energy**: -0.3253 Ry/atom

---

An optimized crystal structure of TbHo2Er3Te6, computed with GGA-PBE.

Cell and atoms, written as extended XYZ:
```
12
Lattice="4.314 0.000 0.000 0.000 8.701 0.290 -2.157 -2.528 9.105" Properties=species:S:1:pos:R:3 pbc="T T T"
Tb 2.157 0.000 0.000
Ho 2.157 4.129 6.285
Ho 0.000 2.044 3.110
Er 2.157 4.351 0.145
Er 2.157 -0.239 6.145
Er 0.000 6.412 3.250
Te 0.000 6.306 6.303
Te 2.157 4.236 3.208
Te 2.157 -0.133 3.092
Te 2.157 -0.323 9.175
Te 0.000 6.496 0.220
Te 0.000 1.937 6.188
```

Computed properties:
**Volume**: 344.9 Å³ per cell
**Mass density**: 8454 kg/m³
**Raw formation energy**: -1239 meV per atom
**Electronic total energy**: -0.3748 Ry/atom

---

An optimized crystal structure of TbHo2ErTe5, computed with GGA-PBE.

Cell and atoms, written as extended XYZ:
```
9
Lattice="5.568 0.000 0.000 0.000 5.568 0.000 0.000 0.000 11.483" Properties=species:S:1:pos:R:3 pbc="T T T"
Tb 0.000 0.000 5.742
Ho 2.784 2.784 4.022
Ho 2.784 2.784 7.461
Er 0.000 0.000 0.000
Te 0.000 2.784 5.742
Te 2.784 0.000 5.742
Te 0.000 0.000 8.673
Te 0.000 0.000 2.810
Te 2.784 2.784 0.000
```

Computed properties:
**Volume**: 356.0 Å³ per cell
**Mass density**: 6036 kg/m³
**Raw formation energy**: -600 meV per atom
**Electronic total energy**: -0.3222 Ry/atom

---

An optimized crystal structure of TbHo3Er3Te8, computed with GGA-PBE.

Cell and atoms, written as extended XYZ:
```
15
Lattice="8.625 0.000 0.000 -4.313 7.470 -0.026 0.000 -4.956 7.056" Properties=species:S:1:pos:R:3 pbc="T T T"
Tb 0.000 -2.478 3.528
Ho 0.000 0.000 0.000
Ho -2.156 3.735 -0.013
Ho 2.156 3.735 -0.013
Er 4.313 -2.478 3.528
Er 2.156 1.257 3.515
Er -2.156 1.257 3.515
Te 0.000 2.496 1.761
Te 4.313 0.018 5.269
Te 4.312 2.416 1.705
Te 0.000 0.098 5.326
Te 6.400 -1.199 1.718
Te -2.087 3.713 5.313
Te 2.225 -1.199 1.718
Te 2.087 3.713 5.313
```

Computed properties:
**Volume**: 453.5 Å³ per cell
**Mass density**: 7969 kg/m³
**Raw formation energy**: -1330 meV per atom
**Electronic total energy**: -0.3780 Ry/atom

---

An optimized crystal structure of TbHo2ErTe6, computed with GGA-PBE.

Cell and atoms, written as extended XYZ:
```
10
Lattice="7.667 0.000 0.000 3.833 6.640 0.000 3.833 2.213 7.004" Properties=species:S:1:pos:R:3 pbc="T T T"
Tb 11.500 6.639 3.719
Ho 7.666 4.426 3.314
Ho 3.833 2.213 6.826
Er 3.833 2.213 0.204
Te 6.455 2.095 1.752
Te 6.253 6.642 1.752
Te 10.291 4.542 1.752
Te 8.849 6.511 5.269
Te 8.880 2.359 5.269
Te 5.269 4.408 5.269
```

Computed properties:
**Volume**: 356.5 Å³ per cell
**Mass density**: 6621 kg/m³
**Raw formation energy**: -1355 meV per atom
**Electronic total energy**: -0.3730 Ry/atom

---

An optimized crystal structure of Tb3HoEr2Te6, computed with GGA-PBE.

Cell and atoms, written as extended XYZ:
```
12
Lattice="-2.693 1.602 -2.982 -6.286 0.669 6.036 5.807 7.558 1.953" Properties=species:S:1:pos:R:3 pbc="T T T"
Tb -4.490 1.135 1.527
Tb 0.585 6.498 -0.174
Tb -3.757 3.331 5.181
Ho -1.346 0.801 -1.491
Er -2.566 6.830 2.849
Er -0.606 2.999 2.158
Te -2.769 6.190 5.825
Te -3.495 3.998 2.167
Te -0.403 3.639 -0.818
Te -1.551 0.186 1.501
Te -1.620 9.643 3.506
Te 0.323 5.831 2.840
```

Computed properties:
**Volume**: 348.4 Å³ per cell
**Mass density**: 8302 kg/m³
**Raw formation energy**: -1261 meV per atom
**Electronic total energy**: -0.3771 Ry/atom

---

An optimized crystal structure of TbHoEr2Te6, computed with GGA-PBE.

Cell and atoms, written as extended XYZ:
```
10
Lattice="7.660 0.000 -0.001 3.830 6.634 -0.001 3.829 2.211 6.997" Properties=species:S:1:pos:R:3 pbc="T T T"
Tb 11.489 6.634 3.720
Ho 3.830 2.211 0.210
Er 7.659 4.422 3.319
Er 3.829 2.211 6.828
Te 6.467 2.100 1.748
Te 6.245 6.616 1.748
Te 10.266 4.551 1.748
Te 8.828 6.518 5.254
Te 8.889 2.362 5.254
Te 5.259 4.387 5.254
```

Computed properties:
**Volume**: 355.6 Å³ per cell
**Mass density**: 6650 kg/m³
**Raw formation energy**: -1352 meV per atom
**Electronic total energy**: -0.3727 Ry/atom